A geometry-optimized In2NiBr structure. Source: Alexandria, functional PBEsol.

The structure in extended XYZ format:
```
4
Lattice="3.981 0.000 0.000 0.000 3.981 0.000 -1.991 -1.991 5.681" Properties=species:S:1:pos:R:3 pbc="T T T"
Br 0.000 1.991 2.840
In 0.000 0.000 0.000
In 1.991 0.000 2.840
Ni 1.991 1.991 0.000
```

Computed properties:
- Space group: I-4m2 (119)
- Total magnetic moment: 0.00 Bohr magnetons per cell
- Electronic total energy: -3.1912 eV per atom


A geometry-optimized In2NiBr structure. Source: Alexandria, functional PBEsol.

The structure in extended XYZ format:
```
4
Lattice="-1.703 3.121 2.247 -3.269 0.119 -2.643 0.193 -4.809 2.890" Properties=species:S:1:pos:R:3 pbc="T T T"
Br 0.000 0.000 0.000
In -1.998 -0.034 2.469
In -2.781 -1.535 0.025
Ni -2.486 1.620 -0.198
```

Computed properties:
- Space group: I4/mmm (139)
- Total magnetic moment: 0.01 Bohr magnetons per cell
- Electronic total energy: -3.1718 eV per atom


A geometry-optimized In2NiBr structure. Source: Alexandria, functional PBEsol.

The structure in extended XYZ format:
```
4
Lattice="-3.205 -0.110 3.786 1.291 -2.150 4.281 0.819 2.782 4.025" Properties=species:S:1:pos:R:3 pbc="T T T"
Br -0.547 0.261 6.046
In 0.000 0.000 0.000
In -0.821 0.392 9.070
Ni -0.274 0.131 3.023
```

Computed properties:
- Space group: F-43m (216)
- Total magnetic moment: 0.00 Bohr magnetons per cell
- Electronic total energy: -3.0912 eV per atom


no.,E_form (uncorrected) (meV per atom),distance to the lowest polymorph of the same formula (eV/atom)
1,307.1,0.000
2,326.5,0.019
3,407.1,0.100